[1]
LiCd4Sb | SCAN | PBEsol geometry

a = 5.765 Å, b = 5.765 Å, c = 5.765 Å
α = 60.00°, β = 60.00°, γ = 60.00°
Element x y z (fractional)
Li (0.000, 0.000, 0.000)
Cd (0.375, 0.375, 0.375)
Cd (0.375, 0.375, 0.876)
Cd (0.375, 0.876, 0.375)
Cd (0.876, 0.375, 0.375)
Sb (0.750, 0.750, 0.750)

Values from the calculation:
The energy relative to the elements, uncorrected is 7 kJ/mol of formula units.

[2]
ZrCdSb | SCAN | PBEsol geometry

a = 7.581 Å, b = 7.581 Å, c = 7.581 Å
α = 156.34°, β = 156.34°, γ = 33.70°
Element x y z (fractional)
Zr (0.000, 0.000, 0.000)
Cd (0.649, 0.649, 0.000)
Sb (0.350, 0.350, 0.000)

Values from the calculation:
The energy relative to the elements, uncorrected is -43 kJ/mol of formula units.

[3]
CuC | SCAN | PBEsol geometry

a = 4.116 Å, b = 4.116 Å, c = 2.498 Å
α = 90.00°, β = 90.00°, γ = 123.07°
Element x y z (fractional)
Cu (0.172, 0.828, 0.750)
Cu (0.828, 0.172, 0.250)
C (0.450, 0.550, 0.750)
C (0.550, 0.450, 0.250)

Values from the calculation:
Its formation energy is 799 meV/atom.

[4]
Ce2S2O | SCAN | PBEsol geometry

a = 8.324 Å, b = 7.075 Å, c = 6.870 Å
α = 90.00°, β = 96.87°, γ = 90.00°
Element x y z (fractional)
Ce (0.090, 0.122, 0.303)
Ce (0.090, 0.378, 0.803)
Ce (0.361, 0.559, 0.248)
Ce (0.361, 0.941, 0.748)
Ce (0.639, 0.059, 0.252)
Ce (0.639, 0.441, 0.752)
Ce (0.910, 0.622, 0.197)
Ce (0.910, 0.878, 0.697)
S (0.165, 0.664, 0.542)
S (0.165, 0.836, 0.042)
S (0.417, 0.234, 0.477)
S (0.417, 0.266, 0.977)
S (0.583, 0.734, 0.023)
S (0.583, 0.766, 0.523)
S (0.835, 0.164, 0.958)
S (0.835, 0.336, 0.458)
O (0.116, 0.089, 0.650)
O (0.116, 0.411, 0.150)
O (0.884, 0.589, 0.850)
O (0.884, 0.911, 0.350)

Values from the calculation:
The energy relative to the elements, uncorrected is -1366 kJ/mol of formula units.

[5]
BiB3Pd | SCAN | PBEsol geometry

a = 4.179 Å, b = 4.179 Å, c = 4.179 Å
α = 90.00°, β = 90.00°, γ = 90.00°
Element x y z (fractional)
Bi (0.000, 0.000, 0.000)
B (0.000, 0.500, 0.500)
B (0.500, 0.000, 0.500)
B (0.500, 0.500, 0.000)
Pd (0.500, 0.500, 0.500)

Values from the calculation:
Its formation energy is 1442 meV/atom.

[6]
FeRe3 | SCAN | PBEsol geometry

a = 3.790 Å, b = 3.790 Å, c = 3.790 Å
α = 90.00°, β = 90.00°, γ = 90.00°
Element x y z (fractional)
Fe (0.000, 0.000, 0.000)
Re (0.000, 0.500, 0.500)
Re (0.500, 0.000, 0.500)
Re (0.500, 0.500, 0.000)

Values from the calculation:
Its formation energy is 54 meV/atom.

no.,total energy (eV for the cell shown)
1,-161.23
2,-98.82
3,-47.40
4,-515.11
5,-126.43
6,-231.21